# 1
Below is a geometry-optimized Li2AgSb structure, with properties calculated at the PBE level.

It has space group P4/mmm (No. 123), with a = 3.237 Å, b = 3.237 Å, c = 7.125 Å, α = 90.00°, β = 90.00° and γ = 90.00°. The asymmetric unit holds Li at (0.000, 0.000, 0.231), Ag at (0.500, 0.500, 0.000) and Sb at (0.500, 0.500, 0.500).

The formation energy without anion corrections comes out at -0.31 eV/atom.

=====

# 2
Below is a geometry-optimized Nd8As3SeS4 structure, with properties calculated at the PBE level.

It has space group R-3m (No. 166, hexagonal axes), with a = 8.3613 Å, b = 8.3613 Å, c = 20.3279 Å, α = 90.00°, β = 90.00° and γ = 120.00°. The asymmetric unit holds Nd at (0.0000, 0.0000, 0.2491), Nd at (0.0060, 0.5030, 0.2478), As at (0.0000, 0.5000, 0.0000), Se at (0.0000, 0.0000, 0.0000), S at (0.0000, 0.0000, 0.5000) and S at (0.0000, 0.5000, 0.5000).

The formation energy without anion corrections comes out at -1.84 eV/atom.

=====

# 3
Below is a geometry-optimized La6Al2In structure, with properties calculated at the PBE level.

It has space group Immm (No. 71), with a = 10.219 Å, b = 10.329 Å, c = 11.128 Å, α = 90.00°, β = 90.00° and γ = 90.00°. The asymmetric unit holds La at (0.000, 0.214, 0.178), La at (0.186, 0.223, 0.500), La at (0.202, 0.500, 0.253), Al at (0.000, 0.000, 0.381), Al at (0.137, 0.000, 0.000), In at (0.000, 0.500, 0.000) and In at (0.000, 0.500, 0.500).

The value obtained for the energy relative to the lowest polymorph listed for this composition is 0 meV/atom.

=====

no.,D(E_F) (states/eV/atom)
1,0.2000
2,0.4089
3,1.3004